(1)
# Mg2TiCuC (SCAN, PBEsol geometry)
data_Mg2TiCuC
_chemical_formula_sum 'Mg2 Ti1 Cu1 C1'
_symmetry_space_group_name_H-M 'P 1'
_symmetry_Int_Tables_number 1
_symmetry_space_group_name_Hall 'P 1'
_cell_length_a 4.512
_cell_length_b 4.512
_cell_length_c 4.569
_cell_angle_alpha 90.00
_cell_angle_beta 90.00
_cell_angle_gamma 90.00
loop_
_atom_site_label
_atom_site_fract_x
_atom_site_fract_y
_atom_site_fract_z
Mg1 0.000 0.500 0.000
Mg2 0.500 0.000 0.000
C1 0.500 0.500 0.500
Cu1 0.000 0.000 0.000
Ti1 0.000 0.000 0.500
# total moment: 0.0 μB per formula unit
# total energy: -8.82 eV per atom


(2)
# CuCN2O (SCAN, PBEsol geometry)
data_CuCN2O
_chemical_formula_sum 'Cu1 C1 N2 O1'
_symmetry_space_group_name_H-M 'P 1'
_symmetry_Int_Tables_number 1
_symmetry_space_group_name_Hall 'P 1'
_cell_length_a 3.681
_cell_length_b 3.681
_cell_length_c 3.750
_cell_angle_alpha 90.00
_cell_angle_beta 90.00
_cell_angle_gamma 90.00
loop_
_atom_site_label
_atom_site_fract_x
_atom_site_fract_y
_atom_site_fract_z
C1 0.500 0.500 0.500
O1 0.000 0.000 0.500
Cu1 0.000 0.000 0.000
N1 0.000 0.500 0.000
N2 0.500 0.000 0.000
# formation energy without anion corrections: 2619 meV per atom
# total moment: 2.8 μB per formula unit


(3)
# Na2CuPCO7 (SCAN, PBEsol geometry)
data_Na2CuPCO7
_chemical_formula_sum 'Na4 Cu2 P2 C2 O14'
_symmetry_space_group_name_H-M 'P 1'
_symmetry_Int_Tables_number 1
_symmetry_space_group_name_Hall 'P 1'
_cell_length_a 5.116
_cell_length_b 6.415
_cell_length_c 8.914
_cell_angle_alpha 90.00
_cell_angle_beta 91.20
_cell_angle_gamma 90.00
loop_
_atom_site_label
_atom_site_fract_x
_atom_site_fract_y
_atom_site_fract_z
Na1 0.239 0.510 0.759
Na2 0.239 0.990 0.759
Na3 0.761 0.490 0.241
Na4 0.761 0.010 0.241
Cu1 0.785 0.250 0.645
Cu2 0.215 0.750 0.355
P1 0.710 0.750 0.574
P2 0.290 0.250 0.426
C1 0.725 0.250 0.920
C2 0.275 0.750 0.080
O1 0.308 0.750 0.942
O2 0.953 0.250 0.858
O3 0.532 0.250 0.821
O4 0.795 0.940 0.671
O5 0.795 0.560 0.671
O6 0.160 0.250 0.580
O7 0.407 0.750 0.551
O8 0.593 0.250 0.449
O9 0.840 0.750 0.420
O10 0.205 0.440 0.329
O11 0.205 0.060 0.329
O12 0.468 0.750 0.179
O13 0.047 0.750 0.142
O14 0.692 0.250 0.058
# formation energy without anion corrections: -1846 meV per atom
# total moment: 2.0 μB per formula unit